No. 1
{
  "formula": "Nb2PW",
  "functional": "PBE-GGA",
  "state": "optimized geometry",
  "energy_ry_per_atom": -0.6825,
  "lattice_angstrom": [[-3.509, 3.509, 2.824], [3.509, -3.509, 2.824], [3.509, 3.509, -2.824]],
  "species": ["Nb", "Nb", "Nb", "Nb", "P", "P", "W", "W"],
  "fractional_positions": [[0.093, 0.625, 0.968], [0.375, 0.343, 0.468], [0.657, 0.125, 0.032], [0.875, 0.907, 0.532], [0.000, 0.000, 0.000], [0.750, 0.250, 0.500], [0.250, 0.750, 0.500], [0.500, 0.500, 0.000]]
}

No. 2
{
  "formula": "TiSiTcRh",
  "functional": "PBE-GGA",
  "state": "optimized geometry",
  "e_form_raw_ev_per_atom": -0.83,
  "lattice_angstrom": [[0.000, 3.019, 3.019], [3.019, 0.000, 3.019], [3.019, 3.019, 0.000]],
  "species": ["Ti", "Si", "Tc", "Rh"],
  "fractional_positions": [[0.000, 0.000, 0.000], [0.500, 0.500, 0.500], [0.250, 0.250, 0.250], [0.750, 0.750, 0.750]]
}

No. 3
{
  "formula": "CaBeN2O",
  "functional": "PBE-GGA",
  "state": "optimized geometry",
  "e_form_raw_ev_per_atom": -0.23,
  "lattice_angstrom": [[3.406, 0.000, 0.000], [0.000, 3.406, 0.000], [0.000, 0.000, 4.394]],
  "species": ["Ca", "Be", "N", "N", "O"],
  "fractional_positions": [[0.000, 0.000, 0.000], [0.500, 0.500, 0.500], [0.000, 0.500, 0.500], [0.500, 0.000, 0.500], [0.500, 0.500, 0.000]]
}

No. 4
{
  "formula": "La4BiTe2As",
  "functional": "PBE-GGA",
  "state": "optimized geometry",
  "e_form_raw_ev_per_atom": -1.48,
  "lattice_angstrom": [[7.908, 0.000, 0.000], [0.000, 4.549, 0.000], [-2.622, 0.000, 7.487]],
  "species": ["La", "La", "La", "La", "Bi", "Te", "Te", "As"],
  "fractional_positions": [[0.231, 0.000, 0.231], [0.240, 0.500, 0.761], [0.760, 0.500, 0.239], [0.769, 0.000, 0.769], [0.000, 0.000, 0.500], [0.500, 0.000, 0.000], [0.500, 0.500, 0.500], [0.000, 0.500, 0.000]]
}

No. 5
{
  "formula": "LiAc6Pt3",
  "functional": "PBE-GGA",
  "state": "optimized geometry",
  "energy_ry_per_atom": -0.3775,
  "lattice_angstrom": [[12.296, 0.000, 0.000], [0.000, 4.336, 0.000], [-6.081, 0.000, 14.036]],
  "species": ["Li", "Li", "Ac", "Ac", "Ac", "Ac", "Ac", "Ac", "Ac", "Ac", "Ac", "Ac", "Ac", "Ac", "Pt", "Pt", "Pt", "Pt", "Pt", "Pt"],
  "fractional_positions": [[0.137, 0.250, 0.061], [0.863, 0.750, 0.939], [0.084, 0.250, 0.427], [0.113, 0.750, 0.866], [0.238, 0.750, 0.276], [0.252, 0.250, 0.716], [0.432, 0.750, 0.582], [0.434, 0.750, 0.083], [0.566, 0.250, 0.917], [0.568, 0.250, 0.418], [0.748, 0.750, 0.284], [0.762, 0.250, 0.724], [0.887, 0.250, 0.134], [0.916, 0.750, 0.573], [0.010, 0.250, 0.721], [0.331, 0.250, 0.430], [0.369, 0.750, 0.866], [0.631, 0.250, 0.134], [0.669, 0.750, 0.570], [0.990, 0.750, 0.279]]
}

No. 6
{
  "formula": "AsPbSe2",
  "functional": "PBE-GGA",
  "state": "optimized geometry",
  "polymorph_energy_ev_per_atom": 0.000,
  "e_form_raw_ev_per_atom": -0.19,
  "lattice_angstrom": [[5.593, -2.220, 0.000], [5.593, 2.220, 0.000], [-0.253, 0.000, 4.450]],
  "species": ["As", "Pb", "Se", "Se"],
  "fractional_positions": [[0.000, 0.000, 0.000], [0.231, 0.231, 0.517], [0.496, 0.496, 0.716], [0.786, 0.786, 0.091]]
}

No. 7
{
  "formula": "InNi7H12",
  "functional": "PBE-GGA",
  "state": "optimized geometry",
  "energy_ry_per_atom": -0.3025,
  "lattice_angstrom": [[3.615, 2.087, 3.035], [-3.615, 2.087, 3.035], [0.000, -4.174, 3.035]],
  "species": ["In", "Ni", "Ni", "Ni", "Ni", "Ni", "Ni", "Ni", "H", "H", "H", "H", "H", "H", "H", "H", "H", "H", "H", "H"],
  "fractional_positions": [[0.000, 0.000, 0.000], [0.091, 0.536, 0.234], [0.234, 0.091, 0.536], [0.464, 0.766, 0.909], [0.500, 0.500, 0.500], [0.536, 0.234, 0.091], [0.766, 0.909, 0.464], [0.909, 0.464, 0.766], [0.080, 0.840, 0.410], [0.160, 0.590, 0.920], [0.187, 0.424, 0.549], [0.410, 0.080, 0.840], [0.424, 0.549, 0.187], [0.451, 0.813, 0.576], [0.549, 0.187, 0.424], [0.576, 0.451, 0.813], [0.590, 0.920, 0.160], [0.813, 0.576, 0.451], [0.840, 0.410, 0.080], [0.920, 0.160, 0.590]]
}

No. 8
{
  "formula": "Th2Ni4Sn3Au",
  "functional": "PBE-GGA",
  "state": "optimized geometry",
  "energy_ry_per_atom": -0.4262,
  "lattice_angstrom": [[4.446, 0.000, 0.000], [0.000, 4.446, 0.000], [0.000, 0.000, 9.996]],
  "species": ["Th", "Th", "Ni", "Ni", "Ni", "Ni", "Sn", "Sn", "Sn", "Au"],
  "fractional_positions": [[0.000, 0.500, 0.238], [0.500, 0.000, 0.762], [0.000, 0.000, 0.000], [0.000, 0.500, 0.627], [0.500, 0.000, 0.373], [0.500, 0.500, 0.000], [0.000, 0.500, 0.874], [0.500, 0.000, 0.126], [0.500, 0.500, 0.500], [0.000, 0.000, 0.500]]
}

No. 9
{
  "formula": "Tb3Nd2Y2",
  "functional": "PBE-GGA",
  "state": "optimized geometry",
  "polymorph_energy_ev_per_atom": 0.106,
  "lattice_angstrom": [[8.380, -1.767, 0.000], [8.380, 1.767, 0.000], [-3.863, 0.000, 7.900]],
  "species": ["Tb", "Tb", "Tb", "Nd", "Nd", "Y", "Y"],
  "fractional_positions": [[0.000, 0.000, 0.000], [0.221, 0.221, 0.147], [0.779, 0.779, 0.853], [0.080, 0.080, 0.702], [0.920, 0.920, 0.298], [0.361, 0.361, 0.593], [0.639, 0.639, 0.407]]
}

No. 10
{
  "formula": "Ac2MgAgPd6",
  "functional": "PBE-GGA",
  "state": "optimized geometry",
  "energy_ry_per_atom": -0.3561,
  "lattice_angstrom": [[2.886, 1.666, 8.413], [-2.886, 1.666, 8.413], [0.000, -3.332, 8.413]],
  "species": ["Ac", "Ac", "Mg", "Ag", "Pd", "Pd", "Pd", "Pd", "Pd", "Pd"],
  "fractional_positions": [[0.211, 0.211, 0.211], [0.789, 0.789, 0.789], [0.000, 0.000, 0.000], [0.500, 0.500, 0.500], [0.244, 0.753, 0.753], [0.247, 0.247, 0.756], [0.247, 0.756, 0.247], [0.753, 0.244, 0.753], [0.753, 0.753, 0.244], [0.756, 0.247, 0.247]]
}

No. 11
{
  "formula": "CeSi2MoW",
  "functional": "PBE-GGA",
  "state": "optimized geometry",
  "e_form_raw_ev_per_atom": -0.41,
  "lattice_angstrom": [[-1.999, 1.999, 5.661], [1.999, -1.999, 5.661], [1.999, 1.999, -5.661]],
  "species": ["Ce", "Si", "Si", "Mo", "W"],
  "fractional_positions": [[0.000, 0.000, 0.000], [0.392, 0.392, 0.000], [0.608, 0.608, 0.000], [0.250, 0.750, 0.500], [0.750, 0.250, 0.500]]
}

No. 12
{
  "formula": "CsRb2Bi2",
  "functional": "PBE-GGA",
  "state": "optimized geometry",
  "polymorph_energy_ev_per_atom": 0.038,
  "lattice_angstrom": [[-2.988, 2.988, 7.637], [2.988, -2.988, 7.637], [2.988, 2.988, -7.637]],
  "species": ["Cs", "Rb", "Rb", "Bi", "Bi"],
  "fractional_positions": [[0.000, 0.000, 0.000], [0.250, 0.750, 0.500], [0.750, 0.250, 0.500], [0.404, 0.404, 0.000], [0.596, 0.596, 0.000]]
}

No. 13
{
  "formula": "TaCrIn2",
  "functional": "PBE-GGA",
  "state": "optimized geometry",
  "polymorph_energy_ev_per_atom": 0.453,
  "lattice_angstrom": [[-3.800, 3.800, 2.849], [3.800, -3.800, 2.849], [3.800, 3.800, -2.849]],
  "species": ["Ta", "Ta", "Cr", "Cr", "In", "In", "In", "In"],
  "fractional_positions": [[0.000, 0.000, 0.000], [0.750, 0.250, 0.500], [0.250, 0.750, 0.500], [0.500, 0.500, 0.000], [0.142, 0.625, 0.017], [0.375, 0.392, 0.517], [0.608, 0.125, 0.983], [0.875, 0.858, 0.483]]
}

Number 1: D(E_F) 5.3 states/eV/f.u.. Number 2: D(E_F) 0.2 states/eV/f.u.. Number 3: D(E_F) 2.0 states/eV/f.u.. Number 4: D(E_F) 4.3 states/eV/f.u.. Number 5: D(E_F) 9.1 states/eV/f.u.. Number 6: D(E_F) 0.8 states/eV/f.u.. Number 7: D(E_F) 3.3 states/eV/f.u.. Number 8: D(E_F) 6.8 states/eV/f.u.. Number 9: D(E_F) 11.9 states/eV/f.u.. Number 10: D(E_F) 6.1 states/eV/f.u.. Number 11: D(E_F) 7.5 states/eV/f.u.. Number 12: D(E_F) 6.4 states/eV/f.u.. Number 13: D(E_F) 2.2 states/eV/f.u..